[1]
A geometry-optimized NbNiPt2Rh2 structure, computed with PBE.

For the size of the total moment, the calculation gives 0.00 μB per atom. The calculation puts the formation energy from the elements at -0.199 eV/atom. The calculation puts the density of states at the Fermi level at 1.21 states/eV per atom. Its crystal system is monoclinic.

The space group is P2_1/m (No. 11) and the conventional cell measures 5.114, 5.378 and 6.798 Å, with angles of 90.00, 104.05 and 90.00 degrees. The inequivalent atoms are Nb at (0.104, 0.250, 0.327), Ni at (0.117, 0.750, 0.351), Pt at (0.386, 0.501, 0.669), Rh at (0.232, 0.250, 0.986) and Rh at (0.270, 0.750, 0.013).


[2]
A geometry-optimized Li3BiAu structure, computed with PBE.

As for the energy above the most stable polymorph in this dataset: 0.00 kcal/mol of atoms. For the size of the total moment, the calculation gives 0.00 μB per atom. The calculation puts the formation energy from the elements at -0.492 eV/atom. The calculation puts the density of states at the Fermi level at 0.37 states/eV per atom. Its crystal system is monoclinic.

The space group is Pm (No. 6) and the conventional cell measures 5.235, 4.717 and 8.044 Å, with angles of 90.00, 108.88 and 90.00 degrees. The inequivalent atoms are Li at (0.000, 0.000, 0.000), Li at (0.046, 0.500, 0.776), Li at (0.422, 0.000, 0.749), Li at (0.469, 0.500, 0.525), Li at (0.581, 0.000, 0.184), Li at (0.890, 0.500, 0.344), Bi at (0.624, 0.500, 0.952), Bi at (0.845, 0.000, 0.575), Au at (0.208, 0.000, 0.361) and Au at (0.260, 0.500, 0.164).


[3]
A geometry-optimized SrPuSbO6 structure, computed with PBE.

For the size of the total moment, the calculation gives 0.33 μB per atom. The total energy comes out at -7.855 eV/atom. The calculation puts the density of states at the Fermi level at 0.81 states/eV per atom. Its crystal system is trigonal.

The space group is P-31c (No. 163) and the conventional cell measures 5.5859, 5.5859 and 10.6657 Å, with angles of 90.00, 90.00 and 120.00 degrees. The inequivalent atoms are Sr at (0.0000, 0.0000, 0.0000), Pu at (0.3333, 0.6667, 0.2500), Sb at (0.3333, 0.6667, 0.7500) and O at (0.0167, 0.3777, 0.6453).